This record from Alexandria describes a relaxed structure of PaZnCo2O6. The functional is GGA+U.

Cell: 5.2850 5.2850 13.9291 Å, 90.00 90.00 120.00°
Space group R3 (No. 146, hexagonal axes)
Unique sites:
Pa1 0.0000 0.0000 0.0000 (multiplicity 3)
Zn1 0.0000 0.0000 0.4962 (multiplicity 3)
Co1 0.0000 0.0000 0.2823 (multiplicity 3)
Co2 0.0000 0.0000 0.7933 (multiplicity 3)
O1 0.0001 0.6170 0.0537 (multiplicity 9)
O2 0.0152 0.3001 0.8815 (multiplicity 9)

Summary:
DOS(E_F) = 0.00 states/eV/f.u.
raw total energy = -69.61 eV per formula unit
magnetization = 9.1 μB/cell
mass density = 7.54 g cm⁻³